1.
Material: MgTaW2
Method: DFT, SCAN
State: PBEsol geometry

abc: 2.6722 4.4519 5.6392
angles: 90.00 90.00 90.00
Last column: nearest neighbours and their distance in Å.
Fractional coordinates of all 4 atoms:
Mg1 0.0000 0.0000 0.4993  2 Mg 2.67, 6 W 2.78-2.98, 4 Ta 2.96
W1 0.0000 0.0000 0.0060  6 W 2.67-2.92, 2 Mg 2.78-2.86, 4 Ta 2.96
W2 0.5000 0.5000 0.2415  6 W 2.67-2.92, 2 Ta 2.75-2.89, 4 Mg 2.98
Ta1 0.5000 0.5000 0.7532  2 Ta 2.67, 6 W 2.75-2.96, 4 Mg 2.96

2.
Material: MgTaW2
Method: DFT, SCAN
State: PBEsol geometry

abc: 2.6694 4.9012 5.3288
angles: 92.75 90.00 105.80
Last column: nearest neighbours and their distance in Å.
Fractional coordinates of all 4 atoms:
W1 0.2472 0.4943 0.7540  5 W 2.67-2.97, 3 Mg 2.80-2.95, 2 Ta 2.96
W2 0.0009 0.0018 0.9939  5 W 2.67-2.97, 3 Ta 2.78-2.99, 2 Mg 2.95
Ta1 0.7514 0.5029 0.2508  2 Ta 2.67, 3 Mg 2.77-2.96, 5 W 2.78-2.99
Mg1 0.5005 0.0010 0.5012  2 Mg 2.67, 3 Ta 2.77-2.96, 5 W 2.80-2.95

3.
Material: YMg2Ta
Method: DFT, SCAN
State: PBEsol geometry

abc: 4.3975 4.3975 5.4583
angles: 113.76 113.76 90.00
Last column: nearest neighbours and their distance in Å.
Fractional coordinates of all 4 atoms:
Ta1 0.5000 0.5000 0.0000  8 Mg 3.11-3.14, 4 Y 3.14
Y1 0.2500 0.7500 0.5000  8 Mg 3.11-3.14, 4 Ta 3.14
Mg1 0.0000 0.0000 0.0000  4 Ta 3.11, 4 Mg 3.14, 4 Y 3.14
Mg2 0.7500 0.2500 0.5000  4 Y 3.11, 4 Ta 3.14, 4 Mg 3.14

4.
Material: YMgTa2
Method: DFT, SCAN
State: PBEsol geometry

abc: 4.8401 4.8401 4.8401
angles: 60.00 60.00 60.00
Last column: nearest neighbours and their distance in Å.
Fractional coordinates of all 4 atoms:
Ta1 0.7500 0.7500 0.7500  4 Ta 2.96, 4 Mg 2.96
Ta2 0.0000 0.0000 0.0000  4 Ta 2.96, 4 Y 2.96
Y1 0.2500 0.2500 0.2500  4 Ta 2.96, 4 Mg 2.96
Mg1 0.5000 0.5000 0.5000  4 Ta 2.96, 4 Y 2.96

no.,total magnetic moment (μB/f.u.),total DFT energy (no corrections) (eV/atom)
1,0.0,-52.32
2,0.0,-52.32
3,0.0,-25.65
4,0.0,-41.11